Compound: LiLaTmAu
Source: the Alexandria database
Functional: PBE-GGA
Structure: relaxed

Unit cell a=7.3812 b=7.3812 c=7.3812 alpha=90.00 beta=90.00 gamma=90.00
With the nearest neighbours (Å) after each atom.
Space group F-43m (No. 216)
Symmetry-distinct sites (fractional):
1 Li 0.0000 0.0000 0.0000 (multiplicity 4)  4 La 3.20, 4 Tm 3.20
2 La 0.2500 0.2500 0.7500 (multiplicity 4)  4 Li 3.20, 4 Au 3.20
3 Tm 0.2500 0.2500 0.2500 (multiplicity 4)  4 Li 3.20, 4 Au 3.20
4 Au 0.0000 0.0000 0.5000 (multiplicity 4)  4 La 3.20, 4 Tm 3.20

- E: -64.100 eV per cell